Entry from the Alexandria database: crystalline CuAsBr2O at its relaxed geometry (GGA-PBE).

a b c (Å): 4.754 4.754 4.925
angles (deg): 90.00 90.00 90.00
Fractional coordinates of all 5 atoms:
Cu 0.000 0.000 0.000
As 0.000 0.000 0.500
Br 0.000 0.500 0.000
Br 0.500 0.000 0.000
O 0.500 0.500 0.500

Uncorrected formation energy, eV/f.u.: 4.45
Theoretical density, g/cm³: 4.69
Total magnetization, μB/cell: 0.0
Calculated volume, A^3/atom: 22.267

=====

Entry from the Alexandria database: crystalline CdHgPbCl4 at its relaxed geometry (GGA-PBE).

a b c (Å): 8.133 8.133 7.715
angles (deg): 93.21 93.21 66.69
Fractional coordinates of all 14 atoms:
Cd 0.135 0.135 0.376
Cd 0.865 0.865 0.624
Hg 0.442 0.442 0.189
Hg 0.558 0.558 0.811
Pb 0.256 0.256 0.885
Pb 0.744 0.744 0.115
Cl 0.047 0.648 0.861
Cl 0.069 0.069 0.685
Cl 0.306 0.306 0.534
Cl 0.352 0.953 0.139
Cl 0.648 0.047 0.861
Cl 0.694 0.694 0.466
Cl 0.931 0.931 0.315
Cl 0.953 0.352 0.139

Uncorrected formation energy, eV/f.u.: -6.27
Theoretical density, g/cm³: 4.70
Total magnetization, μB/cell: 0.0
Calculated volume, A^3/atom: 33.401

=====

Entry from the Alexandria database: crystalline NbVHOs2 at its relaxed geometry (GGA-PBE).

a b c (Å): 3.986 3.986 3.923
angles (deg): 90.00 90.00 90.00
Fractional coordinates of all 5 atoms:
Nb 0.000 0.000 0.000
V 0.500 0.500 0.000
H 0.500 0.500 0.500
Os 0.000 0.500 0.500
Os 0.500 0.000 0.500

Theoretical density, g/cm³: 13.99
Raw total energy, eV/cell: -45.16
Total magnetization, μB/cell: 0.0
Calculated volume, A^3/atom: 12.468

=====

Entry from the Alexandria database: crystalline FeAuS3 at its relaxed geometry (GGA-PBE).

a b c (Å): 4.486 4.486 4.486
angles (deg): 90.00 90.00 90.00
Fractional coordinates of all 5 atoms:
Fe 0.000 0.000 0.000
Au 0.500 0.500 0.500
S 0.000 0.000 0.500
S 0.000 0.500 0.000
S 0.500 0.000 0.000

Uncorrected formation energy, eV/f.u.: 2.75
Theoretical density, g/cm³: 6.42
Total magnetization, μB/cell: 3.8
Calculated volume, A^3/atom: 18.052

=====

Entry from the Alexandria database: crystalline Ba6Sr2Ca at its relaxed geometry (GGA-PBE).

a b c (Å): 11.463 11.463 7.271
angles (deg): 98.48 98.48 141.52
Fractional coordinates of all 9 atoms:
Ba 0.010 0.337 0.337
Ba 0.176 0.176 0.837
Ba 0.337 0.010 0.337
Ba 0.663 0.990 0.663
Ba 0.824 0.824 0.163
Ba 0.990 0.663 0.663
Sr 0.332 0.668 0.000
Sr 0.668 0.332 0.000
Ca 0.500 0.500 0.500

Energy of formation from the pure elements, meV/atom: 41.5
Theoretical density, g/cm³: 3.25
Total magnetization, μB/cell: 0.0
Calculated volume, A^3/atom: 59.066

=====

Entry from the Alexandria database: crystalline Cd2OsSe at its relaxed geometry (GGA-PBE).

a b c (Å): 2.842 2.842 34.205
angles (deg): 90.00 90.00 120.00
Fractional coordinates of all 12 atoms:
Cd 0.000 0.000 0.239
Cd 0.000 0.000 0.761
Cd 0.333 0.667 0.428
Cd 0.333 0.667 0.905
Cd 0.667 0.333 0.095
Cd 0.667 0.333 0.572
Os 0.000 0.000 0.500
Os 0.333 0.667 0.167
Os 0.667 0.333 0.833
Se 0.000 0.000 0.000
Se 0.333 0.667 0.667
Se 0.667 0.333 0.333

Uncorrected formation energy, eV/f.u.: 2.10
Theoretical density, g/cm³: 10.29
Total magnetization, μB/cell: 1.5
Calculated volume, A^3/atom: 19.935